The following is a PBE calculation of crystalline Rb2FeCl7 at its relaxed geometry, from Alexandria.

Output
**Spin magnetization**: 2.994 μB/f.u.
**ΔE_f (raw)**: -1.05 eV/atom
**Energy**: -0.124 Ha/atom

abc: 7.7219 7.7219 10.0539
angles: 90.00 90.00 90.00
Closest atoms and distances in Å follow each position.
Space group I4/mmm (No. 139)
Symmetry-distinct sites (fractional):
Rb1 0.0000 0.5000 0.2500 [4 per cell]  12 Cl 3.74-3.86
Fe1 0.0000 0.0000 0.0000 [2 per cell]  4 Cl 2.23
Cl1 0.0000 0.0000 0.2614 [4 per cell]  1 Cl 2.40, 1 Fe 2.63
Cl2 0.0000 0.0000 0.5000 [2 per cell]  2 Cl 2.40
Cl3 0.2040 0.2040 0.0000 [8 per cell]  1 Fe 2.23